(1)
The following is a DFT calculation (GGA-PBE) of a relaxed structure of Nd2SmNi7Pt2.

## Properties
For the formation energy from the elements, the calculation gives -0.457 eV/atom. As for the spin magnetization: 0.752 μB per formula unit. The total energy comes out at -5.901 eV/atom.

Cell: 8.9448 8.9448 8.9448 Å, 33.29 33.29 33.29°
Last column: magnetic moment on the atom in μB.
Positions (direct):
Pt1 0.3324 0.3324 0.3324  -0.04
Ni1 0.5842 0.5842 0.0857  -0.12
Nd1 0.8610 0.8610 0.8610  0.02
Ni2 0.4158 0.9143 0.4158  -0.13
Sm1 0.0000 0.0000 0.0000  0.01
Ni3 0.9143 0.4158 0.4158  -0.11
Ni4 0.5842 0.0857 0.5842  -0.13
Nd2 0.1390 0.1390 0.1390  0.02
Pt2 0.6676 0.6676 0.6676  -0.04
Ni5 0.5000 0.5000 0.5000  -0.10
Ni6 0.4158 0.4158 0.9143  -0.12
Ni7 0.0857 0.5842 0.5842  -0.11

(2)
The following is a DFT calculation (GGA-PBE) of a relaxed structure of Nd2SmNi8Pt.

## Properties
For the formation energy from the elements, the calculation gives -0.425 eV/atom. As for the spin magnetization: 0.825 μB per formula unit. The total energy comes out at -5.828 eV/atom.

Cell: 8.8388 8.8388 8.8388 Å, 33.11 33.11 33.11°
Last column: magnetic moment on the atom in μB.
Positions (direct):
Ni1 0.9241 0.4205 0.4205  -0.10
Ni2 0.0759 0.5795 0.5795  -0.10
Nd1 0.1368 0.1368 0.1368  0.02
Ni3 0.4205 0.9241 0.4205  -0.13
Ni4 0.5795 0.5795 0.0759  -0.11
Sm1 0.0000 0.0000 0.0000  0.03
Ni5 0.3331 0.3331 0.3331  -0.15
Pt1 0.5000 0.5000 0.5000  -0.01
Ni6 0.5795 0.0759 0.5795  -0.13
Nd2 0.8632 0.8632 0.8632  0.02
Ni7 0.4205 0.4205 0.9241  -0.11
Ni8 0.6669 0.6669 0.6669  -0.15

(3)
The following is a DFT calculation (GGA-PBE) of a relaxed structure of NdSm2Ni7Pt2.

## Properties
For the formation energy from the elements, the calculation gives -0.471 eV/atom. As for the spin magnetization: 0.866 μB per formula unit. The total energy comes out at -5.910 eV/atom.

Cell: 8.8672 8.8672 8.8672 Å, 33.62 33.62 33.62°
Last column: magnetic moment on the atom in μB.
Positions (direct):
Ni1 0.4140 0.9140 0.4140  -0.15
Nd1 0.0000 0.0000 0.0000  0.01
Sm1 0.8602 0.8602 0.8602  0.03
Ni2 0.0860 0.5860 0.5860  -0.12
Ni3 0.5860 0.5860 0.0860  -0.13
Ni4 0.4140 0.4140 0.9140  -0.13
Ni5 0.5860 0.0860 0.5860  -0.15
Ni6 0.9140 0.4140 0.4140  -0.12
Pt1 0.3324 0.3324 0.3324  -0.04
Sm2 0.1398 0.1398 0.1398  0.03
Pt2 0.6676 0.6676 0.6676  -0.04
Ni7 0.5000 0.5000 0.5000  -0.12

(4)
The following is a DFT calculation (GGA-PBE) of a relaxed structure of NdSm2Ni3Pt6.

## Properties
For the formation energy from the elements, the calculation gives -0.813 eV/atom. As for the spin magnetization: 1.130 μB per formula unit. The total energy comes out at -6.414 eV/atom.

Cell: 8.9430 8.9430 8.9430 Å, 35.42 35.42 35.42°
Last column: magnetic moment on the atom in μB.
Positions (direct):
Sm1 0.8596 0.8596 0.8596  -0.01
Pt1 0.4165 0.9180 0.4165  0.08
Pt2 0.5835 0.0820 0.5835  0.08
Ni1 0.3330 0.3330 0.3330  0.30
Sm2 0.1404 0.1404 0.1404  -0.01
Pt3 0.4165 0.4165 0.9180  0.07
Nd1 0.0000 0.0000 0.0000  -0.02
Pt4 0.9180 0.4165 0.4165  0.06
Pt5 0.5835 0.5835 0.0820  0.07
Ni2 0.6670 0.6670 0.6670  0.30
Ni3 0.5000 0.5000 0.5000  0.22
Pt6 0.0820 0.5835 0.5835  0.06

(5)
The following is a DFT calculation (GGA-PBE) of a relaxed structure of NdSm2Ni8Pt.

## Properties
For the formation energy from the elements, the calculation gives -0.443 eV/atom. As for the spin magnetization: 0.867 μB per formula unit. The total energy comes out at -5.841 eV/atom.

Cell: 8.8065 8.8065 8.8065 Å, 33.18 33.18 33.18°
Last column: magnetic moment on the atom in μB.
Positions (direct):
Ni1 0.6668 0.6668 0.6668  -0.14
Ni2 0.5807 0.0761 0.5807  -0.14
Ni3 0.0761 0.5807 0.5807  -0.11
Nd1 0.0000 0.0000 0.0000  0.02
Ni4 0.5807 0.5807 0.0761  -0.12
Pt1 0.5000 0.5000 0.5000  -0.02
Ni5 0.4193 0.4193 0.9239  -0.12
Ni6 0.9239 0.4193 0.4193  -0.11
Sm1 0.8628 0.8628 0.8628  0.03
Ni7 0.4193 0.9239 0.4193  -0.14
Ni8 0.3332 0.3332 0.3332  -0.14
Sm2 0.1372 0.1372 0.1372  0.03

(6)
The following is a DFT calculation (GGA-PBE) of a relaxed structure of Nd2SmNi2Pt7.

## Properties
For the formation energy from the elements, the calculation gives -0.841 eV/atom. As for the spin magnetization: 1.185 μB per formula unit. The total energy comes out at -6.488 eV/atom.

Cell: 9.1640 9.1640 9.1640 Å, 34.53 34.53 34.53°
Last column: magnetic moment on the atom in μB.
Positions (direct):
Sm1 0.0000 0.0000 0.0000  -0.01
Nd1 0.8612 0.8612 0.8612  0.00
Pt1 0.0764 0.5807 0.5807  0.06
Pt2 0.5807 0.0764 0.5807  0.09
Pt3 0.4193 0.9236 0.4193  0.09
Ni1 0.3332 0.3332 0.3332  0.35
Nd2 0.1388 0.1388 0.1388  0.00
Pt4 0.9236 0.4193 0.4193  0.06
Pt5 0.5000 0.5000 0.5000  0.04
Pt6 0.5807 0.5807 0.0764  0.08
Ni2 0.6668 0.6668 0.6668  0.35
Pt7 0.4193 0.4193 0.9236  0.08

(7)
The following is a DFT calculation (GGA-PBE) of a relaxed structure of Nd3Ni2Sn3Pt.

## Properties
As for the spin magnetization: 0.003 μB per formula unit. The total energy comes out at -5.577 eV/atom.

Cell: 7.4680 7.4680 4.1456 Å, 90.00 90.00 120.00°
Positions (direct):
Sn1 0.7403 0.0000 0.5000
Nd1 0.0000 0.4127 0.0000
Nd2 0.4127 0.0000 0.0000
Nd3 0.5873 0.5873 0.0000
Pt1 0.0000 0.0000 0.0000
Sn2 0.2597 0.2597 0.5000
Ni1 0.3333 0.6667 0.5000
Ni2 0.6667 0.3333 0.5000
Sn3 0.0000 0.7403 0.5000

(8)
The following is a DFT calculation (GGA-PBE) of a relaxed structure of Nd2Ni3Sn2Pt.

## Properties
As for the spin magnetization: 0.000 μB per formula unit. The total energy comes out at -5.621 eV/atom.

Cell: 4.4709 4.4709 9.1231 Å, 90.00 90.00 120.00°
Positions (direct):
Ni1 0.0000 0.0000 0.5698
Ni2 0.6667 0.3333 0.4262
Sn1 0.3333 0.6667 0.0151
Sn2 0.3333 0.6667 0.4961
Pt1 0.0000 0.0000 0.9148
Ni3 0.6667 0.3333 0.0789
Nd1 0.6667 0.3333 0.7463
Nd2 0.0000 0.0000 0.2528

(9)
The following is a DFT calculation (GGA-PBE) of a relaxed structure of Nd2NiSn2Pt3.

## Properties
As for the spin magnetization: 0.001 μB per formula unit. The total energy comes out at -5.982 eV/atom.

Cell: 4.5914 4.5914 9.2656 Å, 90.00 90.00 120.00°
Positions (direct):
Pt1 0.3333 0.6667 0.4057
Nd1 0.6667 0.3333 0.2472
Nd2 0.3333 0.6667 0.7532
Pt2 0.6667 0.3333 0.9215
Sn1 0.0000 0.0000 0.4990
Pt3 0.6667 0.3333 0.5873
Ni1 0.3333 0.6667 0.0797
Sn2 0.0000 0.0000 0.0063

(10)
The following is a DFT calculation (GGA-PBE) of a relaxed structure of NdY2NiSn3Pt2.

## Properties
As for the spin magnetization: 0.000 μB per formula unit. The total energy comes out at -6.230 eV/atom.

Cell: 3.9792 7.5552 7.5552 Å, 120.22 90.00 90.00°
Positions (direct):
Sn1 0.5000 0.2462 0.2462
Y1 0.0000 0.4047 0.9996
Y2 0.0000 0.9996 0.4047
Nd1 0.0000 0.5925 0.5925
Ni1 0.0000 0.0036 0.0036
Sn2 0.5000 0.0023 0.7534
Pt1 0.5000 0.6687 0.3289
Sn3 0.5000 0.7534 0.0023
Pt2 0.5000 0.3289 0.6687

(11)
The following is a DFT calculation (GGA-PBE) of a relaxed structure of Nd3Zn3Ni2Pt.

## Properties
For the formation energy from the elements, the calculation gives -0.535 eV/atom. As for the spin magnetization: 0.003 μB per formula unit. The total energy comes out at -4.454 eV/atom.

Cell: 7.2436 7.2436 3.9309 Å, 90.00 90.00 120.00°
Positions (direct):
Pt1 0.0000 0.0000 0.0000
Nd1 0.4178 0.4178 0.0000
Ni1 0.3333 0.6667 0.5000
Nd2 0.0000 0.5822 0.0000
Ni2 0.6667 0.3333 0.5000
Zn1 0.2453 0.0000 0.5000
Zn2 0.0000 0.2453 0.5000
Zn3 0.7547 0.7547 0.5000
Nd3 0.5822 0.0000 0.0000

(12)
The following is a DFT calculation (GGA-PBE) of a relaxed structure of NdZnNiPt3.

## Properties
For the formation energy from the elements, the calculation gives -0.717 eV/atom. As for the spin magnetization: 0.035 μB per formula unit. The total energy comes out at -5.677 eV/atom.

Cell: 5.4440 5.4440 4.1066 Å, 90.00 90.00 120.00°
Positions (direct):
Pt1 0.4980 0.5020 0.5000
Ni1 0.3333 0.6667 0.0000
Pt2 0.4980 0.9961 0.5000
Zn1 0.6667 0.3333 0.0000
Pt3 0.0039 0.5020 0.5000
Nd1 0.0000 0.0000 0.0000

(13)
The following is a DFT calculation (GGA-PBE) of a relaxed structure of NdPuNi.

## Properties
For the formation energy from the elements, the calculation gives 1.092 eV/atom. As for the spin magnetization: 0.047 μB per formula unit. The total energy comes out at -7.061 eV/atom. The relative energy among the computed polymorphs comes out at 0 meV per atom.

Cell: 4.5248 4.5248 4.5248 Å, 60.00 60.00 60.00°
Last column: magnetic moment on the atom in μB.
Positions (direct):
Pu1 0.0000 0.0000 0.0000  -0.07
Nd1 0.2500 0.2500 0.2500  -0.01
Ni1 0.7500 0.7500 0.7500  0.11

(14)
The following is a DFT calculation (GGA-PBE) of a relaxed structure of RbNdNiS3.

## Properties
As for the spin magnetization: 1.993 μB per formula unit. The total energy comes out at -5.186 eV/atom.

Cell: 7.5334 7.5334 10.8481 Å, 90.00 90.00 148.70°
Last column: magnetic moment on the atom in μB.
Positions (direct):
Nd1 0.0000 0.0000 0.0000  0.00
S1 0.0503 0.9497 0.7500  0.18
Ni1 0.5316 0.4684 0.2500  1.16
Ni2 0.4684 0.5316 0.7500  1.16
Rb1 0.2572 0.7428 0.2500  0.00
S2 0.3789 0.6211 0.9213  0.14
S3 0.3789 0.6211 0.5787  0.14
S4 0.6211 0.3789 0.4213  0.14
S5 0.9497 0.0503 0.2500  0.18
Rb2 0.7428 0.2572 0.7500  0.00
S6 0.6211 0.3789 0.0787  0.14
Nd2 0.0000 0.0000 0.5000  0.00

(15)
The following is a DFT calculation (GGA-PBE) of a relaxed structure of RbNdNiTe3.

## Properties
As for the spin magnetization: 0.003 μB per formula unit. The total energy comes out at -4.339 eV/atom.

Cell: 4.3075 9.0766 11.1360 Å, 90.00 90.00 76.27°
Positions (direct):
Rb1 0.2582 0.4836 0.2500
Nd1 0.0000 0.0000 0.0000
Te1 0.3828 0.2345 0.5941
Te2 0.9242 0.1517 0.2500
Ni1 0.5116 0.9769 0.2500
Te3 0.0758 0.8483 0.7500
Ni2 0.4884 0.0231 0.7500
Te4 0.6172 0.7655 0.4060
Te5 0.3828 0.2345 0.9060
Te6 0.6172 0.7655 0.0940
Nd2 0.0000 0.0000 0.5000
Rb2 0.7418 0.5164 0.7500

(16)
The following is a DFT calculation (GGA-PBE) of a relaxed structure of NdReNi.

## Properties
For the formation energy from the elements, the calculation gives 0.743 eV/atom. As for the spin magnetization: 2.094 μB per formula unit. The total energy comes out at -6.842 eV/atom.

Cell: 4.4372 4.4372 4.4372 Å, 60.00 60.00 60.00°
Last column: magnetic moment on the atom in μB.
Positions (direct):
Re1 0.7500 0.7500 0.7500  1.44
Nd1 0.2500 0.2500 0.2500  -0.03
Ni1 0.0000 0.0000 0.0000  0.57

(17)
The following is a DFT calculation (GGA-PBE) of a relaxed structure of NdNiSb2.

## Properties
As for the spin magnetization: 0.001 μB per formula unit. The total energy comes out at -5.378 eV/atom.

Cell: 4.4083 4.4083 9.7129 Å, 90.00 90.00 90.00°
Positions (direct):
Sb1 0.2500 0.7500 0.5000
Ni1 0.7500 0.2500 0.0000
Nd1 0.2500 0.2500 0.7602
Sb2 0.2500 0.2500 0.1351
Ni2 0.2500 0.7500 0.0000
Sb3 0.7500 0.2500 0.5000
Nd2 0.7500 0.7500 0.2398
Sb4 0.7500 0.7500 0.8649

(18)
The following is a DFT calculation (GGA-PBE) of a relaxed structure of NdNiSb3.

## Properties
As for the spin magnetization: 0.002 μB per formula unit. The total energy comes out at -5.161 eV/atom.

Cell: 12.6426 6.2642 18.4698 Å, 90.00 90.00 90.00°
Positions (direct):
Ni1 0.9003 0.6732 0.1758
Sb1 0.7738 0.0263 0.9159
Sb2 0.7738 0.0263 0.5841
Sb3 0.4964 0.2044 0.1661
Sb4 0.9425 0.3157 0.2500
Sb5 0.7738 0.4737 0.4159
Ni2 0.9003 0.8268 0.6758
Sb6 0.5039 0.2500 0.0000
Ni3 0.0997 0.1732 0.1758
Ni4 0.0997 0.3268 0.6758
Sb7 0.7778 0.5545 0.7500
Nd1 0.2992 0.4725 0.4163
Nd2 0.6947 0.4406 0.2500
Sb8 0.0261 0.4585 0.4134
Sb9 0.9739 0.9585 0.4134
Ni5 0.0997 0.3268 0.8242
Sb10 0.2262 0.5263 0.5841
Sb11 0.9739 0.9585 0.0866
Nd3 0.2992 0.4725 0.0837
Ni6 0.9003 0.8268 0.8242
Sb12 0.5036 0.7044 0.3339
Nd4 0.7008 0.5275 0.9163
Sb13 0.9739 0.5415 0.9134
Sb14 0.5036 0.7956 0.6661
Sb15 0.2262 0.9737 0.4159
Nd5 0.2992 0.0275 0.5837
Sb16 0.0261 0.0415 0.9134
Nd6 0.2992 0.0275 0.9163
Sb17 0.5036 0.7956 0.8339
Sb18 0.4961 0.7500 0.5000
Sb19 0.0261 0.0415 0.5866
Ni7 0.8966 0.2500 0.5000
Nd7 0.7008 0.9725 0.4163
Nd8 0.6947 0.0594 0.7500
Ni8 0.9003 0.6732 0.3242
Sb20 0.4964 0.2956 0.8339
Ni9 0.1034 0.7500 0.5000
Sb21 0.2222 0.4455 0.2500
Sb22 0.9739 0.5415 0.5866
Sb23 0.0575 0.8157 0.2500
Sb24 0.5039 0.2500 0.5000
Sb25 0.9425 0.1843 0.7500
Sb26 0.2222 0.0545 0.7500
Nd9 0.3053 0.9406 0.2500
Sb27 0.0261 0.4585 0.0866
Nd10 0.3053 0.5594 0.7500
Sb28 0.2262 0.9737 0.0841
Sb29 0.7778 0.9455 0.2500
Sb30 0.4964 0.2044 0.3339
Sb31 0.0575 0.6843 0.7500
Nd11 0.7008 0.9725 0.0837
Ni10 0.0997 0.1732 0.3242
Sb32 0.2262 0.5263 0.9159
Sb33 0.4961 0.7500 0.0000
Sb34 0.4964 0.2956 0.6661
Ni11 0.8966 0.2500 0.0000
Nd12 0.7008 0.5275 0.5837
Ni12 0.1034 0.7500 0.0000
Sb35 0.5036 0.7044 0.1661
Sb36 0.7738 0.4737 0.0841

(19)
The following is a DFT calculation (GGA-PBE) of a relaxed structure of NdNi2SnSb.

## Properties
As for the spin magnetization: 0.002 μB per formula unit. The total energy comes out at -5.361 eV/atom. The relative energy among the computed polymorphs comes out at 87 meV per atom.

Cell: 4.4960 4.4960 9.9495 Å, 90.00 90.00 90.00°
Positions (direct):
Sn1 0.5000 0.0000 0.1249
Sb1 0.5000 0.5000 0.5000
Ni1 0.5000 0.5000 0.0000
Ni2 0.5000 0.0000 0.3790
Sn2 0.0000 0.5000 0.8751
Nd1 0.0000 0.5000 0.2392
Ni3 0.0000 0.0000 0.0000
Sb2 0.0000 0.0000 0.5000
Nd2 0.5000 0.0000 0.7608
Ni4 0.0000 0.5000 0.6210

(20)
The following is a DFT calculation (GGA-PBE) of a relaxed structure of NdNi2SnSb.

## Properties
As for the spin magnetization: 0.001 μB per formula unit. The total energy comes out at -5.448 eV/atom. The relative energy among the computed polymorphs comes out at 0 meV per atom.

Cell: 4.4176 4.4176 10.0653 Å, 90.00 90.00 90.00°
Positions (direct):
Sn1 0.5000 0.5000 0.5000
Ni1 0.0000 0.0000 0.0000
Ni2 0.5000 0.0000 0.3740
Nd1 0.5000 0.0000 0.7605
Nd2 0.0000 0.5000 0.2395
Sb1 0.5000 0.0000 0.1269
Ni3 0.5000 0.5000 0.0000
Sn2 0.0000 0.0000 0.5000
Ni4 0.0000 0.5000 0.6260
Sb2 0.0000 0.5000 0.8731